# 1
Entry from the Alexandria database: a crystal of Ba2CaZn relaxed with PBEsol (meta-GGA SCAN).

Properties
SG	P4mm (99)
E_form	-0.077	eV/atom
DOS at the Fermi energy	1.14	states/eV per atom

Lattice parameters (Å, degrees): 3.9508 3.9508 10.1194 90.00 90.00 90.00
Closest atoms and distances in Å follow each position.
Fractional positions:
Zn 0.5000 0.5000 0.7227  4 Ca 3.16, 4 Ba 3.47
Ca 0.0000 0.0000 0.5760  4 Zn 3.16, 1 Ba 3.54
Ba 0.0000 0.0000 0.9261  4 Zn 3.47, 1 Ca 3.54
Ba 0.5000 0.5000 0.2752  4 Ba 3.95, 4 Ca 4.13

# 2
Entry from the Alexandria database: a crystal of LaIn2BiO relaxed with PBEsol (meta-GGA SCAN).

Properties
SG	P4/mmm (123)
DOS at the Fermi energy	0.44	states/eV per atom
E	-39.569	eV per atom

Lattice parameters (Å, degrees): 4.8470 4.8470 4.9530 90.00 90.00 90.00
Closest atoms and distances in Å follow each position.
Fractional positions:
In 0.0000 0.5000 0.0000  2 O 2.42
In 0.5000 0.0000 0.0000  2 O 2.42
Bi 0.0000 0.0000 0.5000  2 O 2.48
O 0.0000 0.0000 0.0000  4 In 2.42, 2 Bi 2.48
La 0.5000 0.5000 0.5000  4 Bi 3.43, 8 In 3.47

# 3
Entry from the Alexandria database: a crystal of Co2Se relaxed with PBEsol (meta-GGA SCAN).

Properties
SG	Cmcm (63)
DOS at the Fermi energy	0.84	states/eV per atom
energy above the lowest structure with this stoichiometry	0.000	eV/atom

Lattice parameters (Å, degrees): 3.4777 3.5210 7.4772 90.00 103.45 90.00
Closest atoms and distances in Å follow each position.
Fractional positions:
Co 0.5570 0.7500 0.1140  2 Se 2.33, 8 Co 2.38-2.47
Co 0.9455 0.7500 0.8909  2 Se 2.34, 8 Co 2.37-2.47
Co 0.0545 0.2500 0.1091  2 Se 2.34, 8 Co 2.37-2.47
Co 0.4430 0.2500 0.8860  2 Se 2.33, 8 Co 2.38-2.47
Se 0.3382 0.7500 0.6765  4 Co 2.33-2.34
Se 0.6618 0.2500 0.3235  4 Co 2.33-2.34

# 4
Entry from the Alexandria database: a crystal of AlMo2Se relaxed with PBEsol (meta-GGA SCAN).

Properties
SG	Cmm2 (35)
DOS at the Fermi energy	0.56	states/eV per atom
energy above the lowest structure with this stoichiometry	0.000	eV/atom

Lattice parameters (Å, degrees): 2.8116 2.8116 8.7326 90.00 90.00 111.04
Closest atoms and distances in Å follow each position.
Fractional positions:
Mo 0.0000 0.0000 0.9956  6 Mo 2.63-2.81, 2 Al 2.63
Mo 0.5000 0.5000 0.7565  6 Mo 2.63-2.81, 2 Se 2.66
Al 0.5000 0.5000 0.2348  2 Mo 2.63, 4 Al 2.81, 2 Se 2.91
Se 0.0000 0.0000 0.5131  2 Mo 2.66, 4 Se 2.81, 2 Al 2.91

no.,magnetic moment (μB/f.u.)
1,0.03
2,0.00
3,2.62
4,0.00